4
Lattice="0.000 2.788 2.788 2.788 0.000 2.788 2.788 2.788 0.000" Properties=species:S:1:pos:R:3 comment="MgB2P GGA-PBEsol relaxed" spacegroup="No. 225" formation_enthalpy_0k_ev_per_atom=1.142 pbc="T T T"
Mg 0.000 0.000 0.000
B 1.394 1.394 1.394
B 4.182 4.182 4.182
P 2.788 2.788 2.788

***

18
Lattice="8.425 0.000 0.000 -4.213 7.297 0.000 0.000 0.000 6.328" Properties=species:S:1:pos:R:3 comment="Tb5Si3C GGA-PBEsol relaxed" energy_ev_per_atom=-6.4027 spacegroup="No. 193" pbc="T T T"
Tb -0.944 1.635 1.582
Tb -3.269 5.662 4.746
Tb 1.888 0.000 1.582
Tb 0.944 1.635 4.746
Tb 0.000 4.864 0.000
Tb 0.000 4.864 3.164
Tb 4.213 2.432 0.000
Tb 4.213 2.432 3.164
Tb 6.538 0.000 4.746
Tb 3.269 5.662 1.582
Si -1.721 2.981 4.746
Si -2.492 4.316 1.582
Si 3.442 0.000 4.746
Si 1.721 2.981 1.582
Si 4.984 0.000 1.582
Si 2.492 4.316 4.746
C 0.000 0.000 0.000
C 0.000 0.000 3.164